1.
Density functional theory data (GGA-PBE) for a relaxed LaSn3B crystal.

a = 6.042 Å, b = 6.042 Å, c = 6.042 Å
α = 90.00°, β = 90.00°, γ = 90.00°
Fractional positions:
La1 0.000 0.000 0.000
Sn1 0.000 0.000 0.500
Sn2 0.000 0.500 0.000
Sn3 0.500 0.000 0.000
B1 0.500 0.500 0.500

Output
calculated density: 3.81 Mg/m³
crystal system: cubic
energy of formation from the pure elements: 1606 meV/atom
energy above the lowest structure with this stoichiometry: 7.183 eV/f.u.
SG: Pm-3m


2.
Density functional theory data (GGA-PBE) for a relaxed LaSnB crystal.

a = 5.575 Å, b = 5.575 Å, c = 5.575 Å
α = 40.93°, β = 40.93°, γ = 40.93°
Fractional positions:
La1 0.000 0.000 0.000
Sn1 0.497 0.497 0.497
B1 0.771 0.771 0.771

Output
calculated density: 6.64 Mg/m³
crystal system: trigonal
energy of formation from the pure elements: -287 meV/atom
energy above the lowest structure with this stoichiometry: 0.133 eV/f.u.
SG: R3m


3.
Density functional theory data (GGA-PBE) for a relaxed LaSnB crystal.

a = 4.161 Å, b = 4.215 Å, c = 8.128 Å
α = 89.43°, β = 79.40°, γ = 89.09°
Fractional positions:
La1 0.000 0.000 0.000
La2 0.118 0.025 0.498
Sn1 0.597 0.507 0.758
Sn2 0.678 0.537 0.316
B1 0.215 0.421 0.210
B2 0.476 0.499 0.043

Output
calculated density: 6.36 Mg/m³
crystal system: triclinic
energy of formation from the pure elements: -287 meV/atom
energy above the lowest structure with this stoichiometry: 0.135 eV/f.u.
SG: P1


4.
Density functional theory data (GGA-PBE) for a relaxed LaSnB crystal.

a = 5.199 Å, b = 5.199 Å, c = 6.523 Å
α = 114.78°, β = 114.78°, γ = 75.53°
Fractional positions:
La1 0.248 0.248 0.327
La2 0.752 0.752 0.673
Sn1 0.183 0.183 0.786
Sn2 0.817 0.817 0.214
B1 0.490 0.490 0.861
B2 0.510 0.510 0.139

Output
calculated density: 6.16 Mg/m³
crystal system: monoclinic
energy of formation from the pure elements: 48 meV/atom
energy above the lowest structure with this stoichiometry: 1.139 eV/f.u.
SG: C2/m


5.
Density functional theory data (GGA-PBE) for a relaxed SrLaB3 crystal.

a = 4.746 Å, b = 4.746 Å, c = 4.746 Å
α = 90.00°, β = 90.00°, γ = 90.00°
Fractional positions:
Sr1 0.000 0.000 0.000
La1 0.500 0.500 0.500
B1 0.000 0.000 0.500
B2 0.000 0.500 0.000
B3 0.500 0.000 0.000

Output
calculated density: 4.02 Mg/m³
crystal system: cubic
energy of formation from the pure elements: 1857 meV/atom
energy above the lowest structure with this stoichiometry: 1.732 eV/f.u.
SG: Pm-3m


6.
Density functional theory data (GGA-PBE) for a relaxed SrLaB3 crystal.

a = 4.841 Å, b = 4.841 Å, c = 4.841 Å
α = 90.00°, β = 90.00°, γ = 90.00°
Fractional positions:
Sr1 0.000 0.000 0.000
La1 0.500 0.500 0.500
B1 0.000 0.500 0.500
B2 0.500 0.000 0.500
B3 0.500 0.500 0.000

Output
calculated density: 3.79 Mg/m³
crystal system: cubic
energy of formation from the pure elements: 1511 meV/atom
energy above the lowest structure with this stoichiometry: 0.000 eV/f.u.
SG: Pm-3m


7.
Density functional theory data (GGA-PBE) for a relaxed SrLa2B crystal.

a = 7.076 Å, b = 7.076 Å, c = 7.076 Å
α = 103.02°, β = 103.02°, γ = 123.33°
Fractional positions:
Sr1 0.000 0.000 0.000
Sr2 0.750 0.250 0.500
La1 0.226 0.125 0.601
La2 0.375 0.774 0.899
La3 0.524 0.625 0.399
La4 0.875 0.476 0.101
B1 0.250 0.750 0.500
B2 0.500 0.500 0.000

Output
calculated density: 4.80 Mg/m³
crystal system: tetragonal
energy of formation from the pure elements: 355 meV/atom
SG: I-42d


8.
Density functional theory data (GGA-PBE) for a relaxed LaTa2B crystal.

a = 6.593 Å, b = 6.593 Å, c = 6.593 Å
α = 120.06°, β = 120.06°, γ = 89.90°
Fractional positions:
La1 0.375 0.625 0.750
La2 0.625 0.375 0.250
Ta1 0.000 0.000 0.000
Ta2 0.000 0.000 0.500
Ta3 0.000 0.500 0.000
Ta4 0.500 0.000 0.500
B1 0.125 0.875 0.250
B2 0.875 0.125 0.750

Output
calculated density: 8.39 Mg/m³
crystal system: tetragonal
energy of formation from the pure elements: 863 meV/atom
SG: I4_1/amd


Number 1: energy -3.1168 eV per atom. Number 2: energy -5.4900 eV per atom. Number 3: energy -5.4894 eV per atom. Number 4: energy -5.1546 eV per atom. Number 5: energy -3.4713 eV per atom. Number 6: energy -3.8176 eV per atom. Number 7: energy -4.1988 eV per atom. Number 8: energy -7.9649 eV per atom.